Below is a relaxed structure of AlGa2Sn, with properties calculated at the PBE level.

POSCAR file:
```
AlGa2Sn
1.0
3.4035 0.0000 0.0000
0.0000 3.4035 0.0000
0.0000 0.0000 7.1542
Al Ga Sn
1 2 1
Cartesian
0.0000 0.0000 0.0000 Al
1.7018 1.7018 1.5166 Ga
1.7018 1.7018 5.6376 Ga
0.0000 0.0000 3.5771 Sn
```

- Total magnetic moment: 0.000 μB/atom
- Space-group type: P4/mmm
- ΔH_f (0 K): 0.096 eV/atom